TlSi2Mo | PBE | relaxed

abc: 3.330 4.479 4.679
angles: 90.00 90.00 90.00
Atoms (fractional coordinates):
Tl  0.000  0.000  0.000
Si  0.000  0.500  0.500
Si  0.500  0.500  0.000
Mo  0.500  0.000  0.500

Results
energy relative to the lowest polymorph listed for this composition: 627 meV/atom
space-group type: Pmmm (47)

CaZrZnGa | PBE | relaxed

abc: 4.917 4.917 4.917
angles: 60.00 60.00 60.00
Atoms (fractional coordinates):
Ca  0.000  0.000  0.000
Zr  0.500  0.500  0.500
Zn  0.250  0.250  0.250
Ga  0.750  0.750  0.750

Results
space-group type: F-43m (216)
ΔH_f (0 K): -0.21 eV/atom

Sm4Ir2Pd | PBE | relaxed

abc: 7.653 7.647 8.845
angles: 54.72 54.65 70.63
Atoms (fractional coordinates):
Sm  0.064  0.436  0.186
Sm  0.064  0.936  0.186
Sm  0.176  0.548  0.701
Sm  0.436  0.064  0.314
Sm  0.548  0.176  0.575
Sm  0.549  0.675  0.074
Sm  0.675  0.549  0.702
Sm  0.936  0.064  0.814
Ir  0.177  0.436  0.444
Ir  0.306  0.806  0.814
Ir  0.436  0.177  0.944
Ir  0.806  0.306  0.073
Pd  0.681  0.681  0.319
Pd  0.931  0.931  0.569

Results
space-group type: Fdd2 (43)
ΔH_f (0 K): -0.70 eV/atom

LuMgZrPb | PBE | relaxed

abc: 5.160 5.160 5.160
angles: 60.00 60.00 60.00
Atoms (fractional coordinates):
Lu  0.000  0.000  0.000
Mg  0.750  0.750  0.750
Zr  0.500  0.500  0.500
Pb  0.250  0.250  0.250

Results
space-group type: F-43m (216)
ΔH_f (0 K): -0.04 eV/atom

SrPb | PBE | relaxed

abc: 4.662 4.662 9.322
angles: 90.00 90.00 120.00
Atoms (fractional coordinates):
Sr  0.333  0.667  0.184
Sr  0.667  0.333  0.816
Pb  0.333  0.667  0.581
Pb  0.667  0.333  0.419

Results
space-group type: P-3m1 (164)
ΔH_f (0 K): -0.22 eV/atom

ZnSi2Cl | PBE | relaxed

abc: 6.568 6.568 3.192
angles: 91.41 91.41 35.81
Atoms (fractional coordinates):
Zn  0.000  0.000  0.000
Si  0.200  0.200  0.010
Si  0.800  0.800  0.990
Cl  0.500  0.500  0.500

Results
energy relative to the lowest polymorph listed for this composition: 106 meV/atom
space-group type: C2/m (12)

Sr2CdIn6Sn | PBE | relaxed

abc: 7.989 7.989 7.989
angles: 60.00 60.00 60.00
Atoms (fractional coordinates):
Sr  0.250  0.250  0.250
Sr  0.750  0.750  0.750
Cd  0.000  0.000  0.000
In  0.246  0.246  0.754
In  0.246  0.754  0.246
In  0.246  0.754  0.754
In  0.754  0.246  0.246
In  0.754  0.246  0.754
In  0.754  0.754  0.246
Sn  0.500  0.500  0.500

Results
space-group type: Fm-3m (225)
ΔH_f (0 K): 0.10 eV/atom

Nd3Zr2Ge3 | PBE | relaxed

abc: 8.659 8.659 5.995
angles: 90.00 90.00 120.00
Atoms (fractional coordinates):
Nd  0.000  0.251  0.250
Nd  0.000  0.749  0.750
Nd  0.251  0.000  0.250
Nd  0.251  0.251  0.750
Nd  0.749  0.000  0.750
Nd  0.749  0.749  0.250
Zr  0.333  0.667  0.000
Zr  0.333  0.667  0.500
Zr  0.667  0.333  0.000
Zr  0.667  0.333  0.500
Ge  0.000  0.399  0.750
Ge  0.000  0.601  0.250
Ge  0.399  0.000  0.750
Ge  0.399  0.399  0.250
Ge  0.601  0.000  0.250
Ge  0.601  0.601  0.750

Results
space-group type: P6_3/mcm (193)
ΔH_f (0 K): -0.68 eV/atom

ZrB4Ir3 | PBE | relaxed

abc: 7.632 7.632 3.544
angles: 90.00 90.00 120.00
Atoms (fractional coordinates):
Zr  0.333  0.667  0.250
Zr  0.667  0.333  0.750
B  0.000  0.000  0.000
B  0.000  0.000  0.500
B  0.051  0.447  0.750
B  0.396  0.949  0.750
B  0.447  0.396  0.250
B  0.553  0.604  0.750
B  0.604  0.051  0.250
B  0.949  0.553  0.250
Ir  0.073  0.742  0.750
Ir  0.258  0.330  0.750
Ir  0.330  0.073  0.250
Ir  0.670  0.927  0.750
Ir  0.742  0.670  0.250
Ir  0.927  0.258  0.250

Results
space-group type: P6_3/m (176)
ΔH_f (0 K): -0.52 eV/atom

VFeAs | PBE | relaxed

abc: 3.536 3.536 6.302
angles: 90.00 90.00 90.00
Atoms (fractional coordinates):
V  0.250  0.750  0.000
V  0.750  0.250  0.000
Fe  0.250  0.250  0.328
Fe  0.750  0.750  0.672
As  0.250  0.250  0.702
As  0.750  0.750  0.298

Results
space-group type: P4/nmm (129)
ΔH_f (0 K): -0.19 eV/atom

ErSi2OsRu | PBE | relaxed

abc: 5.608 5.608 5.608
angles: 136.33 136.33 63.47
Atoms (fractional coordinates):
Er  0.000  0.000  0.000
Si  0.371  0.371  0.000
Si  0.629  0.629  0.000
Os  0.750  0.250  0.500
Ru  0.250  0.750  0.500

Results
VASP energy: -8.002 eV/atom
space-group type: I-4m2 (119)

InTcO2F | PBE | relaxed

abc: 3.870 3.870 4.719
angles: 90.00 90.00 90.00
Atoms (fractional coordinates):
In  0.000  0.000  0.000
Tc  0.500  0.500  0.500
O  0.000  0.500  0.500
O  0.500  0.000  0.500
F  0.500  0.500  0.000

Results
VASP energy: -6.194 eV/atom
space-group type: P4/mmm (123)

Al2Ag2Te | PBE | relaxed

abc: 7.052 7.052 7.052
angles: 146.89 146.89 47.52
Atoms (fractional coordinates):
Al  0.102  0.102  0.000
Al  0.898  0.898  0.000
Ag  0.250  0.750  0.500
Ag  0.750  0.250  0.500
Te  0.500  0.500  0.000

Results
energy relative to the lowest polymorph listed for this composition: 21 meV/atom
space-group type: I4/mmm (139)

AcY5Er2 | PBE | relaxed

abc: 7.231 14.471 5.077
angles: 90.00 90.00 90.00
Atoms (fractional coordinates):
Ac  0.000  0.000  0.000
Ac  0.500  0.500  0.000
Y  0.000  0.500  0.000
Y  0.002  0.253  0.000
Y  0.245  0.628  0.500
Y  0.255  0.128  0.500
Y  0.498  0.753  0.000
Y  0.500  0.000  0.000
Y  0.502  0.247  0.000
Y  0.745  0.872  0.500
Y  0.755  0.372  0.500
Y  0.998  0.747  0.000
Er  0.248  0.372  0.500
Er  0.252  0.872  0.500
Er  0.748  0.128  0.500
Er  0.752  0.628  0.500

Results
energy relative to the lowest polymorph listed for this composition: 21 meV/atom
space-group type: Pbam (55)
ΔH_f (0 K): 0.04 eV/atom

CeTm2Al6 | PBE | relaxed

abc: 7.941 7.941 3.439
angles: 90.00 90.00 120.00
Atoms (fractional coordinates):
Ce  0.000  0.000  0.000
Tm  0.333  0.667  0.000
Tm  0.667  0.333  0.000
Al  0.000  0.335  0.500
Al  0.000  0.665  0.500
Al  0.335  0.000  0.500
Al  0.335  0.335  0.500
Al  0.665  0.000  0.500
Al  0.665  0.665  0.500

Results
space-group type: P6/mmm (191)
ΔH_f (0 K): -0.45 eV/atom

CaLaY2H | PBE | relaxed

abc: 5.137 5.137 5.222
angles: 90.00 90.00 90.00
Atoms (fractional coordinates):
Ca  0.000  0.000  0.000
La  0.500  0.500  0.000
Y  0.000  0.500  0.500
Y  0.500  0.000  0.500
H  0.500  0.500  0.500

Results
energy relative to the lowest polymorph listed for this composition: 0 meV/atom
space-group type: P4/mmm (123)

Li2CaRu | PBE | relaxed

abc: 4.618 4.618 4.618
angles: 60.00 60.00 60.00
Atoms (fractional coordinates):
Li  0.250  0.250  0.250
Li  0.750  0.750  0.750
Ca  0.000  0.000  0.000
Ru  0.500  0.500  0.500

Results
energy relative to the lowest polymorph listed for this composition: 70 meV/atom
space-group type: Fm-3m (225)
ΔH_f (0 K): 0.33 eV/atom

CuSeI2O | PBE | relaxed

abc: 5.658 5.658 3.590
angles: 90.00 90.00 90.00
Atoms (fractional coordinates):
Cu  0.000  0.000  0.000
Se  0.500  0.500  0.500
I  0.000  0.500  0.000
I  0.500  0.000  0.000
O  0.000  0.000  0.500

Results
energy relative to the lowest polymorph listed for this composition: 0 meV/atom
space-group type: P4/mmm (123)

PaAg2O6 | PBE | relaxed

abc: 6.685 6.685 4.354
angles: 101.51 101.51 38.17
Atoms (fractional coordinates):
Pa  0.000  0.000  0.000
Ag  0.261  0.261  0.756
Ag  0.739  0.739  0.244
O  0.092  0.092  0.665
O  0.228  0.228  0.237
O  0.426  0.426  0.848
O  0.574  0.574  0.152
O  0.772  0.772  0.763
O  0.908  0.908  0.335

Results
VASP energy: -6.092 eV/atom
space-group type: C2/m (12)

NdZnPd4 | PBE | relaxed

abc: 7.493 4.109 7.024
angles: 90.00 90.00 90.00
Atoms (fractional coordinates):
Nd  0.250  0.000  0.156
Nd  0.750  0.000  0.844
Zn  0.250  0.000  0.730
Zn  0.750  0.000  0.270
Pd  0.000  0.000  0.500
Pd  0.051  0.500  0.809
Pd  0.250  0.500  0.462
Pd  0.449  0.500  0.809
Pd  0.500  0.000  0.500
Pd  0.551  0.500  0.191
Pd  0.750  0.500  0.538
Pd  0.949  0.500  0.191

Results
space-group type: Pmma (51)
ΔH_f (0 K): -0.59 eV/atom

MgHgIr | PBE | relaxed

abc: 5.102 5.102 5.102
angles: 144.99 135.70 57.67
Atoms (fractional coordinates):
Mg  0.000  0.000  0.000
Hg  0.683  0.683  0.000
Ir  0.358  0.358  0.000

Results
energy relative to the lowest polymorph listed for this composition: 11 meV/atom
space-group type: Imm2 (44)
ΔH_f (0 K): 0.00 eV/atom

Ho2InSi2Rh5 | PBE | relaxed

abc: 9.794 9.794 3.513
angles: 90.00 90.00 90.00
Atoms (fractional coordinates):
Ho  0.175  0.325  0.000
Ho  0.325  0.825  0.000
Ho  0.675  0.175  0.000
Ho  0.825  0.675  0.000
In  0.000  0.000  0.000
In  0.500  0.500  0.000
Si  0.122  0.622  0.000
Si  0.378  0.122  0.000
Si  0.622  0.878  0.000
Si  0.878  0.378  0.000
Rh  0.000  0.500  0.500
Rh  0.070  0.783  0.500
Rh  0.217  0.070  0.500
Rh  0.283  0.570  0.500
Rh  0.430  0.283  0.500
Rh  0.500  0.000  0.500
Rh  0.570  0.717  0.500
Rh  0.717  0.430  0.500
Rh  0.783  0.930  0.500
Rh  0.930  0.217  0.500

Results
VASP energy: -6.915 eV/atom
space-group type: P4/mbm (127)

ScInOs2 | PBE | relaxed

abc: 2.933 4.065 5.720
angles: 90.00 90.14 90.00
Atoms (fractional coordinates):
Sc  0.000  0.000  0.000
In  0.499  0.500  0.720
Os  0.500  0.500  0.242
Os  0.999  0.000  0.454

Results
space-group type: Pm (6)
ΔH_f (0 K): 0.08 eV/atom

Mg6BiC | PBE | relaxed

abc: 4.316 7.368 7.368
angles: 48.97 90.00 90.00
Atoms (fractional coordinates):
Mg  0.000  0.000  0.000
Mg  0.000  0.503  0.939
Mg  0.000  0.939  0.503
Mg  0.500  0.122  0.637
Mg  0.500  0.143  0.143
Mg  0.500  0.637  0.122
Bi  0.000  0.487  0.487
C  0.500  0.753  0.753

Results
energy relative to the lowest polymorph listed for this composition: 86 meV/atom
space-group type: Amm2 (38)
ΔH_f (0 K): 0.36 eV/atom

BaBe2Cr | PBE | relaxed

abc: 3.791 6.638 6.638
angles: 28.25 90.00 90.00
Atoms (fractional coordinates):
Ba  0.000  0.000  0.000
Be  0.000  0.743  0.743
Be  0.500  0.660  0.660
Cr  0.500  0.285  0.285

Results
energy relative to the lowest polymorph listed for this composition: 206 meV/atom
space-group type: Amm2 (38)
ΔH_f (0 K): 0.62 eV/atom

| no. | magnetic moment (μB/f.u.) |
| --- | --- |
| 1 | 0.00 |
| 2 | 0.00 |
| 3 | 0.00 |
| 4 | 0.01 |
| 5 | 0.00 |
| 6 | 0.00 |
| 7 | 0.00 |
| 8 | 0.82 |
| 9 | 0.00 |
| 10 | 0.53 |
| 11 | 0.00 |
| 12 | 0.00 |
| 13 | 0.00 |
| 14 | 0.00 |
| 15 | 0.78 |
| 16 | 0.00 |
| 17 | 0.00 |
| 18 | 0.78 |
| 19 | 0.00 |
| 20 | 0.00 |
| 21 | 0.00 |
| 22 | 0.00 |
| 23 | 0.00 |
| 24 | 0.00 |
| 25 | 3.07 |